[1]
Tb4DyBi5: relaxed, PBE-GGA.

Results
Magnetization ... 0.0 μB/f.u.
Space group ... I4/mmm (139)
Raw total energy ... -5.2282 eV per atom

Cell: 16.1351 16.1351 16.1351 Å, 164.06 164.06 22.62°
Positions (direct):
Bi: 0.0998 0.0998 0.0000
Bi: 0.3000 0.3000 0.0000
Bi: 0.5000 0.5000 0.0000
Bi: 0.7000 0.7000 0.0000
Bi: 0.9002 0.9002 0.0000
Dy: 0.0000 0.0000 0.0000
Tb: 0.1999 0.1999 0.0000
Tb: 0.4001 0.4001 0.0000
Tb: 0.5999 0.5999 0.0000
Tb: 0.8001 0.8001 0.0000



[2]
PrHBrCl: relaxed, PBE-GGA.

Results
Magnetization ... 0.0 μB/f.u.
Space group ... P-6m2 (187)
Raw total energy ... -4.5613 eV per atom

Cell: 3.9996 3.9996 13.9499 Å, 90.00 90.00 120.00°
Positions (direct):
Br: 0.3333 0.6667 0.1408
Br: 0.3333 0.6667 0.8592
Cl: 0.0000 0.0000 0.3730
Cl: 0.0000 0.0000 0.6270
H: 0.0000 0.0000 0.0000
H: 0.3333 0.6667 0.5000
Pr: 0.6667 0.3333 0.0000
Pr: 0.6667 0.3333 0.5000



[3]
LuMgGeIr: relaxed, PBE-GGA.

Results
Distance to the lowest polymorph of the same formula ... 79.6 meV/atom
Magnetization ... 0.0 μB/f.u.
Space group ... F-43m (216)
Raw total energy ... -5.3098 eV per atom

Cell: 4.6192 4.6192 4.6192 Å, 60.00 60.00 60.00°
Positions (direct):
Ge: 0.2500 0.2500 0.2500
Ir: 0.0000 0.0000 0.0000
Lu: 0.5000 0.5000 0.5000
Mg: 0.7500 0.7500 0.7500



[4]
Fe23B6: relaxed, PBE-GGA.

Results
Magnetization ... 48.6 μB/f.u.
Space group ... Fm-3m (225)
Raw total energy ... -8.1441 eV per atom

Cell: 7.4903 7.4903 7.4903 Å, 120.00 90.00 120.00°
Each line ends with the local moment (μB).
Positions (direct):
B: 0.2768 0.0000 0.2768  -0.17
B: 0.7232 0.0000 0.2768  -0.17
B: 0.2768 0.5536 0.2768  -0.17
B: 0.2768 0.0000 0.7232  -0.17
B: 0.7232 0.4464 0.7232  -0.17
B: 0.7232 0.0000 0.7232  -0.17
Fe: 0.0000 0.0000 0.0000  2.69
Fe: 0.3424 0.0000 0.0000  2.14
Fe: 0.6576 0.0000 0.0000  2.14
Fe: 0.0000 0.3424 0.0000  2.20
Fe: 0.3424 0.3424 0.0000  2.21
Fe: 0.0000 0.6576 0.0000  2.20
Fe: 0.6576 0.6576 0.0000  2.21
Fe: 0.3811 0.7622 0.1433  1.93
Fe: 0.7500 0.5000 0.2500  2.62
Fe: 0.0000 0.0000 0.3424  2.25
Fe: 0.0000 0.3424 0.3424  2.19
Fe: 0.3424 0.3424 0.3424  2.19
Fe: 0.6189 0.2378 0.3811  1.93
Fe: 0.6189 0.7622 0.3811  1.90
Fe: 0.1433 0.7622 0.3811  1.90
Fe: 0.8567 0.2378 0.6189  1.90
Fe: 0.3811 0.2378 0.6189  1.90
Fe: 0.3811 0.7622 0.6189  1.93
Fe: 0.0000 0.0000 0.6576  2.25
Fe: 0.0000 0.6576 0.6576  2.19
Fe: 0.6576 0.6576 0.6576  2.19
Fe: 0.2500 0.5000 0.7500  2.62
Fe: 0.6189 0.2378 0.8567  1.93



[5]
BaHgPO: relaxed, PBE-GGA.

Results
Distance to the lowest polymorph of the same formula ... 58.5 meV/atom
Space group ... P4/nmm (129)
Raw total energy ... -3.9940 eV per atom

Cell: 4.4815 4.4815 9.7698 Å, 90.00 90.00 90.00°
Positions (direct):
Ba: 0.0000 0.5000 0.1276
Ba: 0.5000 0.0000 0.8724
Hg: 0.0000 0.0000 0.5000
Hg: 0.5000 0.5000 0.5000
O: 0.0000 0.0000 0.0000
O: 0.5000 0.5000 0.0000
P: 0.5000 0.0000 0.3451
P: 0.0000 0.5000 0.6549



[6]
Bi8TePd2: relaxed, PBE-GGA.

Results
Space group ... P4_2/mnm (136)
Raw total energy ... -4.1455 eV per atom

Cell: 10.8576 10.8576 10.9154 Å, 90.00 90.00 90.00°
Positions (direct):
Bi: 0.1925 0.1925 0.0000
Bi: 0.8016 0.1984 0.0000
Bi: 0.3989 0.3989 0.0000
Bi: 0.6011 0.6011 0.0000
Bi: 0.1984 0.8016 0.0000
Bi: 0.8075 0.8075 0.0000
Bi: 0.0000 0.0000 0.1597
Bi: 0.5597 0.2098 0.1954
Bi: 0.7902 0.4403 0.1954
Bi: 0.2098 0.5597 0.1954
Bi: 0.4403 0.7902 0.1954
Bi: 0.2902 0.0597 0.3046
Bi: 0.0597 0.2902 0.3046
Bi: 0.9403 0.7098 0.3046
Bi: 0.7098 0.9403 0.3046
Bi: 0.5000 0.5000 0.3403
Bi: 0.8989 0.1011 0.5000
Bi: 0.3016 0.3016 0.5000
Bi: 0.6925 0.3075 0.5000
Bi: 0.3075 0.6925 0.5000
Bi: 0.6984 0.6984 0.5000
Bi: 0.1011 0.8989 0.5000
Bi: 0.5000 0.5000 0.6597
Bi: 0.2902 0.0597 0.6954
Bi: 0.0597 0.2902 0.6954
Bi: 0.9403 0.7098 0.6954
Bi: 0.7098 0.9403 0.6954
Bi: 0.5597 0.2098 0.8046
Bi: 0.7902 0.4403 0.8046
Bi: 0.2098 0.5597 0.8046
Bi: 0.4403 0.7902 0.8046
Bi: 0.0000 0.0000 0.8403
Pd: 0.3155 0.3155 0.2295
Pd: 0.6845 0.6845 0.2295
Pd: 0.8155 0.1845 0.2705
Pd: 0.1845 0.8155 0.2705
Pd: 0.8155 0.1845 0.7295
Pd: 0.1845 0.8155 0.7295
Pd: 0.3155 0.3155 0.7705
Pd: 0.6845 0.6845 0.7705
Te: 0.5000 0.0000 0.0000
Te: 0.0000 0.5000 0.0000
Te: 0.5000 0.0000 0.5000
Te: 0.0000 0.5000 0.5000